Record 1
# KBe2Pb

An optimized crystal structure of KBe2Pb (PBE-GGA, Alexandria).

Summary:
Final energy (Ry per atom): -0.177
DOS(E_F) (states/eV/f.u.): 2.3
Space group: I4_1/amd
Crystal system: tetragonal

Cell: 5.094 5.094 9.119 Å, 73.78 73.78 90.00°
Element x y z (fractional)
Pb 0.000 0.000 0.000
Pb 0.750 0.250 0.500
Be 0.875 0.125 0.250
Be 0.875 0.625 0.250
Be 0.375 0.125 0.750
Be 0.875 0.125 0.750
K 0.500 0.500 0.000
K 0.250 0.750 0.500

Record 2
# Tb3PrTl2

An optimized crystal structure of Tb3PrTl2 (PBE-GGA, Alexandria).

Summary:
Final energy (Ry per atom): -0.300
DOS(E_F) (states/eV/f.u.): 6.9
ΔE to the lowest computed polymorph (meV per atom): 91.4
Space group: C2/m
Crystal system: monoclinic

Cell: 5.434 9.381 9.351 Å, 124.40 90.00 106.84°
Each line ends with the local moment (μB).
Element x y z (fractional)
Tb 0.306 0.612 0.605  0.03
Tb 0.940 0.880 0.594  0.09
Tb 0.616 0.232 0.692  0.08
Tb 0.384 0.768 0.308  0.08
Tb 0.060 0.120 0.406  0.09
Tb 0.694 0.388 0.395  0.03
Pr 0.869 0.738 0.911  0.01
Pr 0.131 0.262 0.089  0.01
Tl 0.517 0.034 0.863  0.00
Tl 0.483 0.966 0.137  0.00
Tl 0.777 0.554 0.148  0.00
Tl 0.223 0.446 0.852  0.00

Record 3
# TlRe2Ni

An optimized crystal structure of TlRe2Ni (PBE-GGA, Alexandria).

Summary:
Final energy (Ry per atom): -0.552
DOS(E_F) (states/eV/f.u.): 4.1
ΔE to the lowest computed polymorph (meV per atom): 236.8
Space group: P2/m
Crystal system: monoclinic

Cell: 4.845 3.042 4.622 Å, 95.12 90.00 90.00°
Element x y z (fractional)
Ni 0.500 0.750 0.750
Re 0.000 0.048 0.959
Re 0.000 0.452 0.541
Tl 0.500 0.250 0.250

no.,calculated volume (Å³/atom),formation energy from the elements (eV/atom)
1,27.17,0.66
2,30.69,-0.18
3,16.96,0.76